Here is a relaxed AlAs2Pt crystal from Alexandria via LeMat-Bulk. Energies are from PBE.

Output
volume: 17.9 Å³ per atom
DFT formation energy: -139.2 meV per atom

POSCAR file:
```
AlAs2Pt
1.0
2.893 0.000 0.000
0.000 2.893 0.000
0.000 0.000 8.558
Al As Pt
1 2 1
Direct
0.000 0.000 0.000
0.000 0.000 0.572
0.500 0.500 0.229
0.500 0.500 0.810
```

Here is a relaxed Al2AsPt crystal from Alexandria via LeMat-Bulk. Energies are from PBE.

Output
volume: 18.5 Å³ per atom
DFT formation energy: -373.9 meV per atom

POSCAR file:
```
Al2AsPt
1.0
8.824 0.000 0.000
0.000 3.036 0.000
-2.181 0.000 5.531
Al As Pt
4 2 2
Direct
0.000 0.000 0.000
0.181 0.000 0.642
0.500 0.500 0.000
0.681 0.500 0.642
0.295 0.500 0.231
0.795 0.000 0.231
0.458 0.000 0.640
0.958 0.500 0.640
```

Here is a relaxed AlAsPt crystal from Alexandria via LeMat-Bulk. Energies are from PBE.

Output
volume: 16.7 Å³ per atom
DFT formation energy: -197.2 meV per atom

POSCAR file:
```
AlAsPt
1.0
4.534 0.000 0.000
-2.267 3.926 0.000
0.000 0.000 2.811
Al As Pt
1 1 1
Direct
0.000 0.000 0.000
0.667 0.333 0.607
0.333 0.667 0.695
```

Here is a relaxed AlAs2Pt crystal from Alexandria via LeMat-Bulk. Energies are from PBE.

Output
volume: 19.0 Å³ per atom
DFT formation energy: -251.7 meV per atom

POSCAR file:
```
AlAs2Pt
1.0
4.481 0.000 0.000
0.000 3.770 0.000
-1.519 0.000 4.505
Al As Pt
1 2 1
Direct
0.000 0.000 0.000
0.251 0.500 0.700
0.749 0.500 0.300
0.500 0.000 0.500
```

Here is a relaxed AlAs2Pt crystal from Alexandria via LeMat-Bulk. Energies are from PBE.

Output
volume: 17.3 Å³ per atom
DFT formation energy: 69.3 meV per atom

POSCAR file:
```
AlAs2Pt
1.0
4.327 0.000 0.000
0.000 4.327 0.000
0.000 0.000 7.394
Al As Pt
2 4 2
Direct
0.000 0.000 0.000
0.500 0.500 0.500
0.000 0.500 0.250
0.000 0.500 0.750
0.500 0.000 0.250
0.500 0.000 0.750
0.000 0.000 0.500
0.500 0.500 0.000
```

Here is a relaxed AlAs2Pt crystal from Alexandria via LeMat-Bulk. Energies are from PBE.

Output
volume: 17.1 Å³ per atom
DFT formation energy: 0.4 meV per atom

POSCAR file:
```
AlAs2Pt
1.0
4.252 0.000 0.000
0.000 4.252 0.000
0.000 0.000 7.575
Al As Pt
2 4 2
Direct
0.000 0.000 0.000
0.500 0.500 0.500
0.000 0.000 0.500
0.000 0.500 0.750
0.500 0.000 0.250
0.500 0.500 0.000
0.000 0.500 0.250
0.500 0.000 0.750
```

Here is a relaxed Al3AsPt crystal from Alexandria via LeMat-Bulk. Energies are from PBE.

Output
volume: 21.5 Å³ per atom
DFT formation energy: -109.8 meV per atom

POSCAR file:
```
Al3AsPt
1.0
4.756 0.000 0.000
0.000 4.756 0.000
0.000 0.000 4.756
Al As Pt
3 1 1
Direct
0.000 0.000 0.500
0.000 0.500 0.000
0.500 0.000 0.000
0.500 0.500 0.500
0.000 0.000 0.000
```

Here is a relaxed AlAs2Pt crystal from Alexandria via LeMat-Bulk. Energies are from PBE.

Output
volume: 18.9 Å³ per atom
DFT formation energy: -121.8 meV per atom

POSCAR file:
```
AlAs2Pt
1.0
3.081 0.000 0.000
-1.541 2.669 0.000
0.000 0.000 27.580
Al As Pt
3 6 3
Direct
0.000 0.000 0.000
0.333 0.667 0.667
0.667 0.333 0.333
0.000 0.000 0.259
0.000 0.000 0.472
0.333 0.667 0.139
0.333 0.667 0.926
0.667 0.333 0.592
0.667 0.333 0.805
0.000 0.000 0.737
0.333 0.667 0.404
0.667 0.333 0.070
```